(1)
Compound: Sb2TePtC
Source: the Alexandria database
Functional: PBE
Structure: optimized geometry

Cell lengths 5.1890, 5.1890, 5.5049 Å; angles 90.00, 90.00, 90.00 degrees
With the nearest neighbours (Å) after each atom.
Atoms (fractional coordinates):
Sb  0.0000  0.5000  0.0000  2 Pt 2.59
Sb  0.5000  0.0000  0.0000  2 Pt 2.59
Te  0.0000  0.0000  0.5000  2 Pt 2.75
Pt  0.0000  0.0000  0.0000  4 Sb 2.59, 2 Te 2.75
C  0.5000  0.5000  0.5000  4 Te 3.67, 8 Sb 3.78

Computed properties:
Mass density in g/cm³: 6.48
Offset from the most stable computed form in meV per atom: 711
Total energy in eV per formula unit: -18.242
Volume in Å³ per cell: 148.2
Formation energy (no corrections) in eV/atom: 1.68

***

(2)
Compound: SbTe2PtC
Source: the Alexandria database
Functional: PBE
Structure: optimized geometry

Cell lengths 4.7184, 4.7184, 4.6364 Å; angles 90.00, 90.00, 90.00 degrees
With the nearest neighbours (Å) after each atom.
Atoms (fractional coordinates):
Sb  0.0000  0.0000  0.0000  2 C 2.32
Te  0.0000  0.5000  0.5000  2 C 2.36
Te  0.5000  0.0000  0.5000  2 C 2.36
Pt  0.5000  0.5000  0.0000  8 Te 3.31, 4 Sb 3.34
C  0.0000  0.0000  0.5000  2 Sb 2.32, 4 Te 2.36

Computed properties:
Mass density in g/cm³: 9.40
Offset from the most stable computed form in meV per atom: 0
Total energy in eV per formula unit: -20.292
Volume in Å³ per cell: 103.2
Formation energy (no corrections) in eV/atom: 1.08

***

(3)
Compound: ScPtC3
Source: the Alexandria database
Functional: PBE
Structure: optimized geometry

Cell lengths 4.1319, 4.1319, 4.1319 Å; angles 90.00, 90.00, 90.00 degrees
With the nearest neighbours (Å) after each atom.
Atoms (fractional coordinates):
Sc  0.0000  0.0000  0.0000  6 C 2.07
Pt  0.5000  0.5000  0.5000  12 C 2.92
C  0.0000  0.0000  0.5000  2 Sc 2.07
C  0.0000  0.5000  0.0000  2 Sc 2.07
C  0.5000  0.0000  0.0000  2 Sc 2.07

Computed properties:
Mass density in g/cm³: 6.50
Formation energy in eV/atom: 2.651
Offset from the most stable computed form in meV per atom: 840
Total energy in eV per formula unit: -26.791
Volume in Å³ per cell: 70.5

***

(4)
Compound: ScPt3C
Source: the Alexandria database
Functional: PBE
Structure: optimized geometry

Cell lengths 4.7957, 4.7957, 4.7957 Å; angles 90.00, 90.00, 90.00 degrees
With the nearest neighbours (Å) after each atom.
Atoms (fractional coordinates):
Sc  0.0000  0.0000  0.0000  6 Pt 2.40
Pt  0.0000  0.0000  0.5000  2 Sc 2.40
Pt  0.0000  0.5000  0.0000  2 Sc 2.40
Pt  0.5000  0.0000  0.0000  2 Sc 2.40
C  0.5000  0.5000  0.5000  12 Pt 3.39

Computed properties:
Mass density in g/cm³: 9.67
Formation energy in eV/atom: 2.044
Offset from the most stable computed form in meV per atom: 2232
Total energy in eV per formula unit: -23.460
Volume in Å³ per cell: 110.3